[1]
Computed, not measured: a relaxed structure of SrAc2IrPt at the PBE level of DFT.

Cell: 6.0663 6.1162 9.8498 Å, 71.81 90.00 90.00°
Sites, in units of the cell vectors:
Sr  0.7500  0.4128  0.1755
Sr  0.2500  0.5872  0.8245
Ac  0.7500  0.0794  0.8419
Ac  0.2500  0.9206  0.1581
Ac  0.2500  0.2356  0.5293
Ac  0.7500  0.7644  0.4707
Ir  0.2500  0.0767  0.8447
Ir  0.7500  0.9233  0.1553
Pt  0.7500  0.2445  0.5104
Pt  0.2500  0.7555  0.4896

Properties
E   -56.65 eV/cell
Energy of formation   -704 meV per atom
Space group   P2_1/m

[2]
Computed, not measured: a relaxed structure of LaNdIn3 at the PBE level of DFT.

Cell: 9.9197 9.9197 9.9197 Å, 36.07 36.07 36.07°
Sites, in units of the cell vectors:
La  0.3088  0.3088  0.3088
La  0.6912  0.6912  0.6912
Nd  0.1915  0.1915  0.1915
Nd  0.8085  0.8085  0.8085
In  0.2522  0.2522  0.7523
In  0.2522  0.7523  0.2522
In  0.2477  0.7478  0.7478
In  0.7478  0.2477  0.7478
In  0.7478  0.7478  0.2477
In  0.7523  0.2522  0.2522

Properties
Energy relative to the lowest polymorph listed for this composition   0.00 eV/f.u.
E   -38.67 eV/cell
Energy of formation   -285 meV per atom
Space group   R-3m

Sequential total magnetic moment output: 0.00, 0.00 μB per cell
Sequential D(E_F) output: 0.46, 0.90 states/eV/atom